ZrTl2Si | PBE-GGA | relaxed

Cell: 5.453 3.174 5.262 Å, 88.49 90.00 90.00°
Positions (direct):
Si1 0.500 0.750 0.750
Tl1 0.000 0.971 0.998
Tl2 0.000 0.529 0.502
Zr1 0.500 0.250 0.250

Magnetization: 0.0 μB/f.u.
Raw formation energy: 0.222 eV per atom
Energy relative to the lowest polymorph listed for this composition: 265 meV/atom
DOS(E_F): 1.397 states/eV/f.u.
Raw total energy: -0.3274 Ry/atom

***

ZrTl2Si | PBE-GGA | relaxed

Cell: 9.532 9.532 9.532 Å, 20.43 20.43 20.43°
Positions (direct):
Si1 0.750 0.750 0.750
Tl1 0.005 0.005 0.005
Tl2 0.495 0.495 0.495
Zr1 0.250 0.250 0.250

Magnetization: 0.0 μB/f.u.
Raw formation energy: 0.318 eV per atom
Energy relative to the lowest polymorph listed for this composition: 361 meV/atom
DOS(E_F): 1.541 states/eV/f.u.
Raw total energy: -0.3203 Ry/atom

***

ZrTlSi | PBE-GGA | relaxed

Cell: 4.722 4.722 4.722 Å, 60.00 60.00 60.00°
Positions (direct):
Si1 0.000 0.000 0.000
Tl1 0.500 0.500 0.500
Zr1 0.750 0.750 0.750

Magnetization: 0.0 μB/f.u.
Raw formation energy: 0.350 eV per atom
Energy relative to the lowest polymorph listed for this composition: 346 meV/atom
DOS(E_F): 2.220 states/eV/f.u.
Raw total energy: -0.3746 Ry/atom